# ZrAs2

ZrAs2 after structural relaxation (GGA-PBEsol, Alexandria via LeMat-Bulk).

The space group is I4/mcm (No. 140) and the conventional cell measures 5.857, 5.857 and 6.733 Å, with angles of 90.00, 90.00 and 90.00 degrees. The distinct sites, in fractional coordinates, are Zr at (0.000, 0.000, 0.250) and As at (0.146, 0.354, 0.000).

The crystal system is tetragonal. Its energy of formation is -857.2 meV per atom.